(1)
{
  "formula": "FeBiAs2Se",
  "functional": "PBE",
  "state": "optimized geometry",
  "lattice": [[4.481, 0.000, 0.000], [0.000, 4.481, 0.000], [0.000, 0.000, 5.370]],
  "species": ["Se", "As", "As", "Fe", "Bi"],
  "frac_coords": [[0.000, 0.000, 0.500], [0.500, 0.000, 0.000], [0.000, 0.500, 0.000], [0.000, 0.000, 0.000], [0.500, 0.500, 0.500]],
  "sg": "P4/mmm, No. 123",
  "rho_kg_m3": 7602,
  "raw_formation_energy_mev_per_atom": 263,
  "dft_energy_ev_per_cell": -23.8,
  "magnetic_moment_mub_per_cell": 0.175,
  "relative_energy_ev_per_fu": 0.000,
  "crystal_system": "tetragonal"
}

(2)
{
  "formula": "CePrMnN4",
  "functional": "PBE",
  "state": "optimized geometry",
  "lattice": [[-1.086, -4.114, -3.020], [4.535, 0.653, -2.520], [3.445, -1.806, 5.730]],
  "species": ["N", "Pr", "N", "Ce", "Mn", "Pr", "N", "N", "N", "N", "N", "N", "Mn", "Ce"],
  "frac_coords": [[0.000, 0.000, 0.500], [0.395, 0.250, 0.791], [0.933, 0.250, 0.866], [0.105, 0.250, 0.211], [0.263, 0.750, 0.526], [0.605, 0.750, 0.209], [0.414, 0.750, 0.827], [0.500, 0.000, 0.500], [0.000, 0.500, 0.500], [0.500, 0.500, 0.500], [0.586, 0.250, 0.173], [0.067, 0.750, 0.134], [0.737, 0.250, 0.474], [0.895, 0.750, 0.789]],
  "sg": "Cmcm, No. 63",
  "rho_kg_m3": 7438,
  "raw_formation_energy_mev_per_atom": -885,
  "dft_energy_ev_per_cell": -118.8,
  "magnetic_moment_mub_per_cell": 0.002,
  "crystal_system": "orthorhombic"
}

(3)
{
  "formula": "LiIr2Au",
  "functional": "PBE",
  "state": "optimized geometry",
  "lattice": [[-3.499, 0.845, -1.582], [-1.255, -0.901, 2.294], [-0.990, 4.229, 4.451]],
  "species": ["Ir", "Ir", "Au", "Li"],
  "frac_coords": [[0.000, 0.954, 0.046], [0.500, 0.278, 0.222], [0.500, 0.781, 0.719], [0.000, 0.487, 0.513]],
  "sg": "Pmm2, No. 25",
  "rho_kg_m3": 16122,
  "formation_enthalpy_0k_mev_per_atom": -50,
  "dft_energy_ev_per_cell": -23.1,
  "magnetic_moment_mub_per_cell": 0.000,
  "relative_energy_ev_per_fu": 0.000,
  "crystal_system": "orthorhombic"
}

(4)
{
  "formula": "Rb2NaCd12Au3",
  "functional": "PBE",
  "state": "optimized geometry",
  "lattice": [[9.146, -0.424, -0.301], [4.148, 8.162, -0.301], [4.148, 2.414, 7.803]],
  "species": ["Cd", "Cd", "Cd", "Cd", "Au", "Cd", "Cd", "Cd", "Cd", "Rb", "Na", "Cd", "Au", "Rb", "Cd", "Cd", "Cd", "Au"],
  "frac_coords": [[0.689, 0.689, 0.152], [0.874, 0.365, 0.874], [0.874, 0.874, 0.365], [0.365, 0.874, 0.874], [0.000, 0.000, 0.500], [0.689, 0.152, 0.689], [0.848, 0.311, 0.311], [0.152, 0.689, 0.689], [0.126, 0.126, 0.635], [0.391, 0.391, 0.391], [0.000, 0.000, 0.000], [0.126, 0.635, 0.126], [0.500, 0.000, 0.000], [0.609, 0.609, 0.609], [0.635, 0.126, 0.126], [0.311, 0.311, 0.848], [0.311, 0.848, 0.311], [0.000, 0.500, 0.000]],
  "sg": "R-3m, No. 166",
  "rho_kg_m3": 5804,
  "formation_enthalpy_0k_mev_per_atom": 70,
  "dft_energy_ev_per_cell": -22.8,
  "magnetic_moment_mub_per_cell": 0.000,
  "crystal_system": "trigonal"
}

- Number 4 is which compound?
  Rb2NaCd12Au3